The following is a PBE calculation of Sm5Tm4Cd after structural relaxation, from the Alexandria database.

Results
The value obtained for the density of states at the Fermi level is 14.07 states/eV per cell. The space group is P4/mmm (123). Its calculated total energy is -4.280 eV per atom.

Cell lengths 3.586, 3.586, 24.177 Å; angles 90.00, 90.00, 90.00 degrees
Atoms (fractional coordinates):
Tm  0.000  0.000  0.192
Tm  0.000  0.000  0.808
Tm  0.000  0.000  0.603
Tm  0.000  0.000  0.397
Sm  0.500  0.500  0.705
Sm  0.500  0.500  0.295
Sm  0.500  0.500  0.089
Sm  0.500  0.500  0.911
Sm  0.500  0.500  0.500
Cd  0.000  0.000  0.000